Material: SiTePb2
Method: DFT, PBE
State: optimized geometry

Lattice parameters (Å, degrees): 6.368 6.368 6.368 138.19 138.19 60.60
Positions (direct):
Te1 0.750 0.250 0.500
Pb1 0.250 0.750 0.500
Pb2 0.000 0.000 0.000
Si1 0.500 0.500 0.000

Values from the calculation:
Fermi-level density of states (states/eV/f.u.): 2.28
ρ (Mg/m³): 8.3
M_tot (μB per formula unit): 0.0
Energy relative to the elements, uncorrected (eV/f.u.): 1.3
Offset from the most stable computed form (meV per atom): 157
Space group: I-4m2 (119)
VASP energy (eV per cell): -14.68

Material: RbI2N2
Method: DFT, PBE
State: optimized geometry

Lattice parameters (Å, degrees): 7.070 7.070 6.514 90.00 90.00 90.00
Last column: magnetic moment on the atom in μB.
Positions (direct):
I1 0.500 0.000 0.000  0.34
I2 0.000 0.500 0.000  0.34
N1 0.500 0.500 0.500  1.94
N2 0.000 0.000 0.500  1.92
Rb1 0.000 0.000 0.000  0.01

Values from the calculation:
Fermi-level density of states (states/eV/f.u.): 8.26
ρ (Mg/m³): 1.9
M_tot (μB per formula unit): 7.1
Energy relative to the elements, uncorrected (eV/f.u.): 8.7
Offset from the most stable computed form (meV per atom): 1033
Space group: P4/mmm (123)
VASP energy (eV per cell): -11.97

Material: LaTb4Ho5
Method: DFT, PBE
State: optimized geometry

Lattice parameters (Å, degrees): 6.266 7.890 7.890 80.93 66.60 66.60
Positions (direct):
Tb1 0.404 0.402 0.699
Tb2 0.104 0.301 0.402
Tb3 0.505 0.598 0.301
Tb4 0.806 0.699 0.598
Ho1 0.180 0.913 0.620
Ho2 0.094 0.620 0.087
Ho3 0.800 0.380 0.913
Ho4 0.714 0.087 0.380
Ho5 0.681 0.000 0.000
La1 0.222 0.000 0.000

Values from the calculation:
Fermi-level density of states (states/eV/f.u.): 14.27
ρ (Mg/m³): 8.1
M_tot (μB per formula unit): 0.0
Offset from the most stable computed form (meV per atom): 234
Formation energy from the elements (eV per atom): 0.30
Space group: I4 (79)
VASP energy (eV per cell): -43.34

Material: Rb2VNiS4
Method: DFT, PBE
State: optimized geometry

Lattice parameters (Å, degrees): 5.412 7.313 12.190 85.29 77.17 68.29
Last column: magnetic moment on the atom in μB.
Positions (direct):
S1 0.887 0.815 0.898  0.07
S2 0.863 0.685 0.602  0.07
S3 0.216 0.185 0.898  0.07
S4 0.534 0.315 0.602  0.07
S5 0.452 0.685 0.398  0.07
S6 0.151 0.315 0.398  0.07
S7 0.298 0.815 0.102  0.07
S8 0.599 0.185 0.102  0.07
Ni1 0.750 0.500 0.500  0.62
Ni2 0.000 0.000 0.000  0.62
Rb1 0.926 0.500 0.147  0.00
Rb2 0.824 0.000 0.353  0.00
Rb3 0.176 0.000 0.647  0.00
Rb4 0.574 0.500 0.853  0.00
V1 0.250 0.500 0.500  -0.12
V2 0.500 0.000 0.000  -0.12

Values from the calculation:
Fermi-level density of states (states/eV/f.u.): 5.24
ρ (Mg/m³): 3.1
M_tot (μB per formula unit): 1.0
Energy relative to the elements, uncorrected (eV/f.u.): -8.1
Space group: Fddd (70)
VASP energy (eV per cell): -82.90

Material: EuIn4Au
Method: DFT, PBE
State: optimized geometry

Lattice parameters (Å, degrees): 8.945 8.945 7.600 90.00 90.00 149.74
Last column: magnetic moment on the atom in μB.
Positions (direct):
In1 0.822 0.178 0.952  -0.01
In2 0.000 0.000 0.000  -0.01
In3 0.178 0.822 0.048  -0.01
In4 0.000 0.000 0.500  -0.01
In5 0.563 0.437 0.250  -0.01
In6 0.437 0.563 0.750  -0.01
In7 0.822 0.178 0.548  -0.01
In8 0.178 0.822 0.452  -0.01
Au1 0.725 0.275 0.250  -0.01
Au2 0.275 0.725 0.750  -0.01
Eu1 0.375 0.625 0.250  6.85
Eu2 0.625 0.375 0.750  6.85

Values from the calculation:
Fermi-level density of states (states/eV/f.u.): 9.59
ρ (Mg/m³): 8.8
M_tot (μB per formula unit): 7.0
Formation energy from the elements (eV per atom): -0.38
Space group: Cmcm (63)
VASP energy (eV per cell): -53.59

Material: NbTcPt2
Method: DFT, PBE
State: optimized geometry

Lattice parameters (Å, degrees): 4.526 4.526 4.526 60.00 60.00 60.00
Last column: magnetic moment on the atom in μB.
Positions (direct):
Nb1 0.000 0.000 0.000  -0.03
Pt1 0.250 0.250 0.250  0.13
Pt2 0.750 0.750 0.750  0.13
Tc1 0.500 0.500 0.500  1.09

Values from the calculation:
Fermi-level density of states (states/eV/f.u.): 6.00
ρ (Mg/m³): 14.7
M_tot (μB per formula unit): 1.4
Offset from the most stable computed form (meV per atom): 0
Formation energy from the elements (eV per atom): -0.02
Space group: Fm-3m (225)
VASP energy (eV per cell): -32.59

Material: Ac2La6Y
Method: DFT, PBE
State: optimized geometry

Lattice parameters (Å, degrees): 3.782 3.782 27.961 90.00 90.00 120.00
Positions (direct):
Ac1 0.667 0.333 0.672
Ac2 0.667 0.333 0.328
La1 0.667 0.333 0.896
La2 0.333 0.667 0.787
La3 0.333 0.667 0.439
La4 0.333 0.667 0.213
La5 0.667 0.333 0.104
La6 0.333 0.667 0.561
Y1 0.333 0.667 0.000

Values from the calculation:
Fermi-level density of states (states/eV/f.u.): 16.27
ρ (Mg/m³): 6.6
M_tot (μB per formula unit): 0.0
Formation energy from the elements (eV per atom): 0.06
Space group: P-6m2 (187)
VASP energy (eV per cell): -43.67

Material: HoAl2GaCu2
Method: DFT, PBE
State: optimized geometry

Lattice parameters (Å, degrees): 4.469 4.469 5.544 90.00 90.00 90.00
Positions (direct):
Al1 0.500 0.500 0.736
Al2 0.500 0.500 0.264
Cu1 0.000 0.500 0.000
Cu2 0.500 0.000 0.000
Ga1 0.000 0.000 0.000
Ho1 0.000 0.000 0.500

Values from the calculation:
Fermi-level density of states (states/eV/f.u.): 2.23
ρ (Mg/m³): 6.2
M_tot (μB per formula unit): 0.0
Formation energy from the elements (eV per atom): -0.05
Space group: P4/mmm (123)
VASP energy (eV per cell): -23.59